No. 1
Below is CrSn2Ir after structural relaxation, with properties calculated at the PBE level.

Cell lengths 4.5977, 4.5977, 4.5977 Å; angles 60.00, 60.00, 60.00 degrees
Last column: magnetic moment on the atom in μB.
Atoms (fractional coordinates):
Cr1 0.0000 0.0000 0.0000  1.10
Ir1 0.5000 0.5000 0.5000  -0.16
Sn1 0.2500 0.2500 0.2500  -0.05
Sn2 0.7500 0.7500 0.7500  -0.05

Results
ρ ... 11.6 g/cm3
Energy above the lowest structure with this stoichiometry ... 0 meV per atom
Total energy ... -6.370 eV per atom
Density of states at the Fermi level ... 5.11 states/eV per cell

No. 2
Below is DyIn6Ag12 after structural relaxation, with properties calculated at the PBE level.

Cell lengths 7.8285, 7.8285, 7.8285 Å; angles 105.34, 105.34, 105.34 degrees
Atoms (fractional coordinates):
Dy1 0.0000 0.0000 0.0000
In1 0.7008 0.2968 0.2968
In2 0.2968 0.2968 0.7008
In3 0.2968 0.7008 0.2968
In4 0.7032 0.7032 0.2992
In5 0.2992 0.7032 0.7032
In6 0.7032 0.2992 0.7032
Ag1 0.8888 0.1112 0.5000
Ag2 0.8896 0.6515 0.6515
Ag3 0.6515 0.6515 0.8896
Ag4 0.3485 0.1104 0.3485
Ag5 0.3485 0.3485 0.1104
Ag6 0.1104 0.3485 0.3485
Ag7 0.1112 0.5000 0.8888
Ag8 0.5000 0.8888 0.1112
Ag9 0.1112 0.8888 0.5000
Ag10 0.8888 0.5000 0.1112
Ag11 0.5000 0.1112 0.8888
Ag12 0.6515 0.8896 0.6515

Results
ρ ... 8.6 g/cm3
Total energy ... -2.867 eV per atom
Density of states at the Fermi level ... 4.63 states/eV per cell

No. 3
Below is SrCd2PtPb after structural relaxation, with properties calculated at the PBE level.

Cell lengths 5.2583, 5.2583, 5.4229 Å; angles 90.00, 90.00, 90.00 degrees
Atoms (fractional coordinates):
Pb1 0.0000 0.0000 0.5000
Sr1 0.5000 0.5000 0.5000
Pt1 0.0000 0.0000 0.0000
Cd1 0.0000 0.5000 0.0000
Cd2 0.5000 0.0000 0.0000

Results
ρ ... 7.9 g/cm3
Total energy ... -2.891 eV per atom
Density of states at the Fermi level ... 3.29 states/eV per cell

No. 4
Below is NdBeO3 after structural relaxation, with properties calculated at the PBE level.

Cell lengths 3.6584, 6.6214, 6.9723 Å; angles 90.00, 90.00, 123.49 degrees
Last column: magnetic moment on the atom in μB.
Atoms (fractional coordinates):
Nd1 0.1695 0.9192 0.2500  0.01
Nd2 0.8305 0.0808 0.7500  0.01
Be1 0.1367 0.3866 0.2500  -0.01
Be2 0.8633 0.6134 0.7500  -0.01
O1 0.9350 0.1851 0.0935  0.38
O2 0.0650 0.8149 0.9065  0.38
O3 0.9350 0.1851 0.4065  0.38
O4 0.0650 0.8149 0.5935  0.38
O5 0.4072 0.6564 0.2500  0.08
O6 0.5928 0.3436 0.7500  0.08

Results
ρ ... 4.7 g/cm3
Total energy ... -7.168 eV per atom
Density of states at the Fermi level ... 0.88 states/eV per cell

No. 5
Below is Pu6BiSb3 after structural relaxation, with properties calculated at the PBE level.

Cell lengths 6.9300, 7.4101, 7.4101 Å; angles 50.35, 76.83, 76.83 degrees
Last column: magnetic moment on the atom in μB.
Atoms (fractional coordinates):
Pu1 0.3178 0.0889 0.5892  -4.98
Pu2 0.6822 0.4108 0.9111  -4.98
Pu3 0.6822 0.9111 0.4108  -4.98
Pu4 0.3178 0.5892 0.0889  -4.98
Pu5 0.1687 0.7250 0.7250  4.68
Pu6 0.8313 0.2750 0.2750  4.68
Bi1 0.5000 0.5000 0.5000  0.04
Sb1 0.2848 0.1435 0.1435  0.02
Sb2 0.7152 0.8565 0.8565  0.02
Sb3 0.0000 0.0000 0.0000  0.05

Results
ρ ... 11.9 g/cm3
Total energy ... -10.267 eV per atom
Density of states at the Fermi level ... 31.23 states/eV per cell

No. 6
Below is Tb2Pm3Dy4 after structural relaxation, with properties calculated at the PBE level.

Cell lengths 6.0964, 11.3076, 11.3076 Å; angles 61.88, 63.06, 63.06 degrees
Atoms (fractional coordinates):
Tb1 0.4224 0.2828 0.5079
Tb2 0.0776 0.4921 0.7172
Tb3 0.5776 0.7172 0.4921
Tb4 0.9224 0.5079 0.2828
Pm1 0.7509 0.0160 0.3166
Pm2 0.7491 0.6834 0.9840
Pm3 0.2491 0.9840 0.6834
Pm4 0.2509 0.3166 0.0160
Pm5 0.2500 0.6498 0.3502
Pm6 0.7500 0.3502 0.6498
Dy1 0.4206 0.9503 0.1738
Dy2 0.0794 0.8262 0.0497
Dy3 0.5794 0.0497 0.8262
Dy4 0.9206 0.1738 0.9503
Dy5 0.0811 0.1587 0.3824
Dy6 0.4189 0.6176 0.8413
Dy7 0.9189 0.8413 0.6176
Dy8 0.5811 0.3824 0.1587

Results
ρ ... 8.0 g/cm3
Energy above the lowest structure with this stoichiometry ... 80 meV per atom
Total energy ... -4.561 eV per atom
Density of states at the Fermi level ... 25.82 states/eV per cell

No. 7
Below is BeAlPO2 after structural relaxation, with properties calculated at the PBE level.

Cell lengths 3.4776, 3.4776, 5.6098 Å; angles 90.00, 90.00, 90.00 degrees
Last column: magnetic moment on the atom in μB.
Atoms (fractional coordinates):
P1 0.0000 0.0000 0.5000  0.14
Al1 0.0000 0.0000 0.0000  0.00
O1 0.0000 0.5000 0.0000  0.09
O2 0.5000 0.0000 0.0000  0.09
Be1 0.5000 0.5000 0.5000  0.00

Results
ρ ... 2.4 g/cm3
Energy above the lowest structure with this stoichiometry ... 0 meV per atom
Total energy ... -5.222 eV per atom
Density of states at the Fermi level ... 4.00 states/eV per cell

No. 8
Below is KRh3W after structural relaxation, with properties calculated at the PBE level.

Cell lengths 4.5427, 4.5427, 4.5427 Å; angles 90.00, 90.00, 90.00 degrees
Atoms (fractional coordinates):
K1 0.0000 0.0000 0.0000
Rh1 0.0000 0.5000 0.0000
Rh2 0.0000 0.0000 0.5000
Rh3 0.5000 0.0000 0.0000
W1 0.5000 0.5000 0.5000

Results
ρ ... 9.4 g/cm3
Energy above the lowest structure with this stoichiometry ... 1869 meV per atom
Total energy ... -4.564 eV per atom
Density of states at the Fermi level ... 8.76 states/eV per cell